# 1
This record from Alexandria via LeMat-Bulk describes a relaxed Rb2Tl6PdRh crystal. The functional is PBE-GGA.

## Properties
The calculation puts the density of states at the Fermi level at 6.8 states/eV/f.u. The calculated total energy comes out at -2.93 eV/atom. The energy of formation from the pure elements comes out at -0.06 eV per atom. The total magnetic moment is 0.0 μB per formula unit.

Cell lengths 7.708, 7.708, 7.696 Å; angles 119.84, 119.84, 90.13 degrees
Fractional positions:
Rb  0.250  0.750  0.000
Rb  0.750  0.250  0.000
Tl  0.248  0.248  0.500
Tl  0.248  0.752  0.500
Tl  0.249  0.249  0.997
Tl  0.751  0.751  0.003
Tl  0.752  0.248  0.500
Tl  0.752  0.752  0.500
Pd  0.500  0.500  0.500
Rh  0.000  0.000  0.500

=====

# 2
This record from Alexandria via LeMat-Bulk describes a relaxed RbPd2Ru crystal. The functional is PBE-GGA.

## Properties
The calculation puts the density of states at the Fermi level at 4.3 states/eV/f.u. The calculated total energy comes out at -4.21 eV/atom. The energy of formation from the pure elements comes out at 0.95 eV per atom. The value obtained for the energy above the most stable polymorph in this dataset is 0 meV/atom. The total magnetic moment is 2.9 μB per formula unit.

Cell lengths 6.369, 6.369, 6.369 Å; angles 104.35, 104.35, 120.29 degrees
Fractional positions:
Rb  0.000  0.000  0.000
Rb  0.750  0.250  0.500
Pd  0.195  0.125  0.570
Pd  0.375  0.805  0.930
Pd  0.555  0.625  0.430
Pd  0.875  0.445  0.070
Ru  0.250  0.750  0.500
Ru  0.500  0.500  0.000

=====

# 3
This record from Alexandria via LeMat-Bulk describes a relaxed Rb3PdRu crystal. The functional is PBE-GGA.

## Properties
The calculation puts the density of states at the Fermi level at 9.4 states/eV/f.u. The calculated total energy comes out at -2.39 eV/atom. The energy of formation from the pure elements comes out at 1.08 eV per atom. The value obtained for the energy above the most stable polymorph in this dataset is 0 meV/atom. The total magnetic moment is 2.9 μB per formula unit.

Cell lengths 6.339, 6.339, 6.339 Å; angles 90.00, 90.00, 90.00 degrees
Fractional positions:
Rb  0.000  0.000  0.500
Rb  0.000  0.500  0.000
Rb  0.500  0.000  0.000
Pd  0.000  0.000  0.000
Ru  0.500  0.500  0.500

=====

# 4
This record from Alexandria via LeMat-Bulk describes a relaxed RbPd2Ru crystal. The functional is PBE-GGA.

## Properties
The calculation puts the density of states at the Fermi level at 4.6 states/eV/f.u. The calculated total energy comes out at -4.17 eV/atom. The energy of formation from the pure elements comes out at 0.99 eV per atom. The value obtained for the energy above the most stable polymorph in this dataset is 39 meV/atom. The total magnetic moment is 2.7 μB per formula unit.

Cell lengths 4.823, 4.823, 4.823 Å; angles 60.00, 60.00, 60.00 degrees
Fractional positions:
Rb  0.000  0.000  0.000
Pd  0.250  0.250  0.250
Pd  0.750  0.750  0.750
Ru  0.500  0.500  0.500

=====

# 5
This record from Alexandria via LeMat-Bulk describes a relaxed Rb2PdRuSe crystal. The functional is PBE-GGA.

## Properties
The calculation puts the density of states at the Fermi level at 5.6 states/eV/f.u. The calculated total energy comes out at -3.49 eV/atom. The total magnetic moment is 0.7 μB per formula unit. As for the formation energy from raw total energies: 484 meV per atom.

Cell lengths 6.572, 6.572, 4.560 Å; angles 90.00, 90.00, 90.00 degrees
Fractional positions:
Rb  0.000  0.500  0.000
Rb  0.500  0.000  0.000
Pd  0.000  0.000  0.500
Ru  0.500  0.500  0.500
Se  0.500  0.500  0.000

=====

# 6
This record from Alexandria via LeMat-Bulk describes a relaxed RbVPdRu2 crystal. The functional is PBE-GGA.

## Properties
The calculation puts the density of states at the Fermi level at 9.6 states/eV/f.u. The calculated total energy comes out at -4.49 eV/atom. The energy of formation from the pure elements comes out at 2.28 eV per atom. The total magnetic moment is 3.8 μB per formula unit.

Cell lengths 4.908, 4.908, 5.407 Å; angles 90.00, 90.00, 90.00 degrees
Fractional positions:
Rb  0.000  0.000  0.000
V  0.500  0.500  0.000
Pd  0.000  0.000  0.500
Ru  0.000  0.500  0.500
Ru  0.500  0.000  0.500

=====

# 7
This record from Alexandria via LeMat-Bulk describes a relaxed RbPd2S crystal. The functional is PBE-GGA.

## Properties
The calculation puts the density of states at the Fermi level at 2.7 states/eV/f.u. The calculated total energy comes out at -4.15 eV/atom. The value obtained for the energy above the most stable polymorph in this dataset is 228 meV/atom. The total magnetic moment is 0.0 μB per formula unit. As for the formation energy from raw total energies: -275 meV per atom.

Cell lengths 6.442, 6.442, 6.442 Å; angles 39.81, 39.81, 39.81 degrees
Fractional positions:
Rb  0.000  0.000  0.000
Pd  0.189  0.189  0.189
Pd  0.811  0.811  0.811
S  0.500  0.500  0.500

=====

# 8
This record from Alexandria via LeMat-Bulk describes a relaxed RbPdS2 crystal. The functional is PBE-GGA.

## Properties
The calculation puts the density of states at the Fermi level at 2.4 states/eV/f.u. The calculated total energy comes out at -4.12 eV/atom. The total magnetic moment is 0.0 μB per formula unit. As for the formation energy from raw total energies: -513 meV per atom.

Cell lengths 5.465, 5.465, 3.601 Å; angles 90.00, 90.00, 103.93 degrees
Fractional positions:
Rb  0.000  0.000  0.000
Pd  0.500  0.500  0.000
S  0.326  0.674  0.500
S  0.674  0.326  0.500

=====

# 9
This record from Alexandria via LeMat-Bulk describes a relaxed RbPdS2 crystal. The functional is PBE-GGA.

## Properties
The calculation puts the density of states at the Fermi level at 3.7 states/eV/f.u. The calculated total energy comes out at -4.08 eV/atom. The total magnetic moment is 0.0 μB per formula unit. As for the formation energy from raw total energies: -474 meV per atom.

Cell lengths 6.508, 6.508, 6.508 Å; angles 109.75, 109.75, 108.92 degrees
Fractional positions:
Rb  0.000  0.000  0.000
Rb  0.750  0.250  0.500
Pd  0.250  0.750  0.500
Pd  0.500  0.500  0.000
S  0.242  0.625  0.117
S  0.375  0.492  0.617
S  0.508  0.125  0.883
S  0.875  0.758  0.383

=====

# 10
This record from Alexandria via LeMat-Bulk describes a relaxed Rb2Pd2S crystal. The functional is PBE-GGA.

## Properties
The calculation puts the density of states at the Fermi level at 0.1 states/eV/f.u. The calculated total energy comes out at -3.47 eV/atom. The total magnetic moment is 0.0 μB per formula unit. As for the formation energy from raw total energies: -185 meV per atom.

Cell lengths 6.721, 6.721, 5.455 Å; angles 90.00, 90.00, 90.00 degrees
Fractional positions:
Rb  0.175  0.325  0.000
Rb  0.325  0.825  0.000
Rb  0.675  0.175  0.000
Rb  0.825  0.675  0.000
Pd  0.168  0.668  0.500
Pd  0.332  0.168  0.500
Pd  0.668  0.832  0.500
Pd  0.832  0.332  0.500
S  0.000  0.000  0.500
S  0.500  0.500  0.500

=====

# 11
This record from Alexandria via LeMat-Bulk describes a relaxed RbPdS2 crystal. The functional is PBE-GGA.

## Properties
The calculation puts the density of states at the Fermi level at 2.9 states/eV/f.u. The calculated total energy comes out at -4.16 eV/atom. The total magnetic moment is 0.4 μB per formula unit. As for the formation energy from raw total energies: -553 meV per atom.

Cell lengths 7.388, 7.388, 6.993 Å; angles 90.00, 90.00, 133.89 degrees
Fractional positions:
Rb  0.173  0.827  0.750
Rb  0.827  0.173  0.250
Pd  0.499  0.501  0.750
Pd  0.501  0.499  0.250
S  0.387  0.613  0.001
S  0.387  0.613  0.499
S  0.613  0.387  0.501
S  0.613  0.387  0.999

=====

# 12
This record from Alexandria via LeMat-Bulk describes a relaxed Rb2PdS3 crystal. The functional is PBE-GGA.

## Properties
The calculation puts the density of states at the Fermi level at 4.1 states/eV/f.u. The calculated total energy comes out at -3.82 eV/atom. The total magnetic moment is 0.0 μB per formula unit. As for the formation energy from raw total energies: -566 meV per atom.

Cell lengths 7.460, 7.460, 6.809 Å; angles 94.70, 94.70, 69.60 degrees
Fractional positions:
Rb  0.001  0.688  0.804
Rb  0.312  0.999  0.696
Rb  0.688  0.001  0.304
Rb  0.999  0.312  0.196
Pd  0.445  0.555  0.250
Pd  0.555  0.445  0.750
S  0.164  0.836  0.250
S  0.348  0.398  0.487
S  0.398  0.348  0.987
S  0.602  0.652  0.013
S  0.652  0.602  0.513
S  0.836  0.164  0.750

=====

# 13
This record from Alexandria via LeMat-Bulk describes a relaxed Rb2PdS2 crystal. The functional is PBE-GGA.

## Properties
The calculated total energy comes out at -3.93 eV/atom. The total magnetic moment is 0.0 μB per formula unit. As for the formation energy from raw total energies: -851 meV per atom.

Cell lengths 7.145, 10.558, 3.649 Å; angles 90.00, 90.00, 90.00 degrees
Fractional positions:
Rb  0.073  0.169  0.000
Rb  0.427  0.669  0.000
Rb  0.573  0.331  0.000
Rb  0.927  0.831  0.000
Pd  0.000  0.500  0.000
Pd  0.500  0.000  0.000
S  0.195  0.434  0.500
S  0.305  0.934  0.500
S  0.695  0.066  0.500
S  0.805  0.566  0.500

=====

# 14
This record from Alexandria via LeMat-Bulk describes a relaxed Rb2PdS2 crystal. The functional is PBE-GGA.

## Properties
The calculation puts the density of states at the Fermi level at 0.8 states/eV/f.u. The calculated total energy comes out at -3.58 eV/atom. The total magnetic moment is 0.0 μB per formula unit. As for the formation energy from raw total energies: -508 meV per atom.

Cell lengths 6.878, 6.878, 5.312 Å; angles 90.00, 90.00, 90.00 degrees
Fractional positions:
Rb  0.161  0.339  0.000
Rb  0.339  0.839  0.000
Rb  0.661  0.161  0.000
Rb  0.839  0.661  0.000
Pd  0.000  0.000  0.500
Pd  0.500  0.500  0.500
S  0.169  0.669  0.500
S  0.331  0.169  0.500
S  0.669  0.831  0.500
S  0.831  0.331  0.500

=====

# 15
This record from Alexandria via LeMat-Bulk describes a relaxed RbPdS4 crystal. The functional is PBE-GGA.

## Properties
The calculation puts the density of states at the Fermi level at 3.2 states/eV/f.u. The calculated total energy comes out at -3.91 eV/atom. The total magnetic moment is 0.0 μB per formula unit. As for the formation energy from raw total energies: -136 meV per atom.

Cell lengths 7.924, 7.924, 7.924 Å; angles 117.69, 117.69, 94.04 degrees
Fractional positions:
Rb  0.375  0.125  0.250
Rb  0.625  0.875  0.750
Pd  0.125  0.375  0.750
Pd  0.875  0.625  0.250
S  0.025  0.702  0.084
S  0.118  0.942  0.416
S  0.202  0.618  0.676
S  0.442  0.525  0.824
S  0.558  0.475  0.176
S  0.798  0.382  0.324
S  0.882  0.058  0.584
S  0.975  0.298  0.916

=====

# 16
This record from Alexandria via LeMat-Bulk describes a relaxed Rb2PdS crystal. The functional is PBE-GGA.

## Properties
The calculation puts the density of states at the Fermi level at 0.9 states/eV/f.u. The calculated total energy comes out at -2.92 eV/atom. The value obtained for the energy above the most stable polymorph in this dataset is 0 meV/atom. The total magnetic moment is 0.0 μB per formula unit. As for the formation energy from raw total energies: -103 meV per atom.

Cell lengths 5.553, 5.553, 5.553 Å; angles 60.00, 60.00, 60.00 degrees
Fractional positions:
Rb  0.250  0.250  0.250
Rb  0.750  0.750  0.750
Pd  0.000  0.000  0.000
S  0.500  0.500  0.500

=====

# 17
This record from Alexandria via LeMat-Bulk describes a relaxed Rb2PdS crystal. The functional is PBE-GGA.

## Properties
The calculation puts the density of states at the Fermi level at 0.9 states/eV/f.u. The calculated total energy comes out at -2.73 eV/atom. The value obtained for the energy above the most stable polymorph in this dataset is 189 meV/atom. The total magnetic moment is 0.0 μB per formula unit. As for the formation energy from raw total energies: 87 meV per atom.

Cell lengths 10.993, 10.993, 10.993 Å; angles 153.66, 153.66, 37.59 degrees
Fractional positions:
Rb  0.121  0.625  0.996
Rb  0.375  0.371  0.496
Rb  0.629  0.125  0.004
Rb  0.875  0.879  0.504
Pd  0.000  0.000  0.000
Pd  0.750  0.250  0.500
S  0.250  0.750  0.500
S  0.500  0.500  0.000

=====

# 18
This record from Alexandria via LeMat-Bulk describes a relaxed RbPdS5 crystal. The functional is PBE-GGA.

## Properties
The calculated total energy comes out at -4.13 eV/atom. The total magnetic moment is 0.0 μB per formula unit. As for the formation energy from raw total energies: -302 meV per atom.

Cell lengths 6.676, 7.930, 8.537 Å; angles 80.45, 78.16, 88.80 degrees
Fractional positions:
Rb  0.094  0.300  0.294
Rb  0.906  0.700  0.706
Pd  0.500  0.000  0.500
Pd  0.500  0.500  0.500
S  0.046  0.261  0.716
S  0.321  0.334  0.737
S  0.417  0.726  0.652
S  0.448  0.883  0.284
S  0.460  0.927  0.914
S  0.540  0.073  0.086
S  0.552  0.117  0.716
S  0.583  0.274  0.348
S  0.679  0.666  0.263
S  0.954  0.739  0.284

=====

# 19
This record from Alexandria via LeMat-Bulk describes a relaxed RbPd2S crystal. The functional is PBE-GGA.

## Properties
The calculation puts the density of states at the Fermi level at 0.8 states/eV/f.u. The calculated total energy comes out at -4.37 eV/atom. The value obtained for the energy above the most stable polymorph in this dataset is 0 meV/atom. The total magnetic moment is 0.0 μB per formula unit. As for the formation energy from raw total energies: -503 meV per atom.

Cell lengths 8.351, 8.351, 8.351 Å; angles 141.84, 141.84, 55.07 degrees
Fractional positions:
Rb  0.375  0.625  0.750
Rb  0.625  0.375  0.250
Pd  0.000  0.000  0.000
Pd  0.000  0.000  0.500
Pd  0.000  0.500  0.000
Pd  0.500  0.000  0.500
S  0.125  0.875  0.250
S  0.875  0.125  0.750

=====

# 20
This record from Alexandria via LeMat-Bulk describes a relaxed RbPd4S2 crystal. The functional is PBE-GGA.

## Properties
The calculation puts the density of states at the Fermi level at 6.2 states/eV/f.u. The calculated total energy comes out at -4.72 eV/atom. The total magnetic moment is 0.0 μB per formula unit. As for the formation energy from raw total energies: -440 meV per atom.

Cell lengths 8.678, 8.678, 4.108 Å; angles 90.00, 90.00, 152.75 degrees
Fractional positions:
Rb  0.000  0.000  0.000
Pd  0.192  0.808  0.500
Pd  0.313  0.687  0.000
Pd  0.687  0.313  0.000
Pd  0.808  0.192  0.500
S  0.381  0.619  0.500
S  0.619  0.381  0.500